ErCuSi2Os | PBE | optimized geometry

Properties
Total moment in μB/cell: 0.00
E in eV/atom: -6.638
Crystal system: tetragonal

Cell: 5.761 5.761 5.761 Å, 139.41 139.41 58.76°
Sites, in units of the cell vectors:
Er  0.000  0.000  0.000
Cu  0.750  0.250  0.500
Si  0.381  0.381  0.000
Si  0.619  0.619  0.000
Os  0.250  0.750  0.500

PrErCu2P4 | PBE | optimized geometry

Properties
Total moment in μB/cell: 0.00
E in eV/atom: -5.645
Crystal system: tetragonal

Cell: 3.755 3.755 9.878 Å, 90.00 90.00 90.00°
Sites, in units of the cell vectors:
Pr  0.000  0.000  0.000
Er  0.500  0.500  0.536
Cu  0.000  0.500  0.277
Cu  0.500  0.000  0.277
P  0.000  0.000  0.429
P  0.000  0.500  0.759
P  0.500  0.000  0.759
P  0.500  0.500  0.128

ErPaCu | PBE | optimized geometry

Properties
E_form in eV/atom: 0.4328
Total moment in μB/cell: 1.02
E in eV/atom: -5.493
Crystal system: cubic

Cell: 4.722 4.722 4.722 Å, 60.00 60.00 60.00°
Sites, in units of the cell vectors:
Er  0.000  0.000  0.000
Pa  0.500  0.500  0.500
Cu  0.250  0.250  0.250